<a>
This record from Alexandria via LeMat-Bulk describes a geometry-optimized SrGaI2 structure. The functional is PBE-GGA.

Unit cell a=5.802 b=5.802 c=5.802 alpha=60.00 beta=60.00 gamma=60.00
Fractional positions:
Sr (0.500, 0.500, 0.500)
I (0.750, 0.750, 0.750)
I (0.250, 0.250, 0.250)
Ga (0.000, 0.000, 0.000)

Computed properties:
The mass density comes out at 4.94 Mg/m³.

<b>
This record from Alexandria via LeMat-Bulk describes a geometry-optimized SrGaI2 structure. The functional is PBE-GGA.

Unit cell a=5.935 b=5.935 c=10.958 alpha=74.29 beta=74.29 gamma=90.00
Fractional positions:
I (0.375, 0.372, 0.750)
I (0.875, 0.878, 0.750)
I (0.122, 0.625, 0.250)
I (0.628, 0.125, 0.250)
Sr (0.750, 0.250, 0.500)
Sr (0.000, 0.000, 0.000)
Ga (0.500, 0.500, 0.000)
Ga (0.250, 0.750, 0.500)

Computed properties:
The mass density comes out at 3.83 Mg/m³.

<c>
This record from Alexandria via LeMat-Bulk describes a geometry-optimized SrGaI2 structure. The functional is PBE-GGA.

Unit cell a=4.726 b=4.726 c=10.426 alpha=76.90 beta=76.90 gamma=60.00
Fractional positions:
I (0.895, 0.895, 0.314)
I (0.105, 0.105, 0.686)
Ga (0.500, 0.500, 0.500)
Sr (0.000, 0.000, 0.000)

Computed properties:
The mass density comes out at 3.51 Mg/m³.

The calculated energies rank the structures as follows, beginning with the most stable: <a>, <b>, <c>.

<a>
This record from Alexandria via LeMat-Bulk describes a geometry-optimized Sr2GaI2 structure. The functional is PBE-GGA.

Unit cell a=9.480 b=9.480 c=4.041 alpha=90.00 beta=90.00 gamma=90.00
Fractional positions:
Sr (0.671, 0.829, 0.500)
Sr (0.329, 0.171, 0.500)
Sr (0.171, 0.671, 0.500)
Sr (0.829, 0.329, 0.500)
I (0.133, 0.367, 0.000)
I (0.633, 0.133, 0.000)
I (0.867, 0.633, 0.000)
I (0.367, 0.867, 0.000)
Ga (0.500, 0.500, 0.000)
Ga (0.000, 0.000, 0.000)

Computed properties:
The mass density comes out at 4.56 Mg/m³.

<b>
This record from Alexandria via LeMat-Bulk describes a geometry-optimized Sr2GaI2 structure. The functional is PBE-GGA.

Unit cell a=6.407 b=6.407 c=6.759 alpha=61.71 beta=61.71 gamma=90.00
Each line ends with the local moment (μB).
Fractional positions:
Sr (0.750, 0.250, 0.500)  0.03
Sr (0.250, 0.750, 0.500)  0.03
Ga (0.000, 0.000, 0.000)  0.10
I (0.678, 0.678, 0.644)  0.01
I (0.322, 0.322, 0.356)  0.01

Computed properties:
The mass density comes out at 4.02 Mg/m³.

The calculated energies rank the structures as follows, beginning with the most stable: <a>, <b>.

<a>
This record from Alexandria via LeMat-Bulk describes a geometry-optimized SrGaI4 structure. The functional is PBE-GGA.

Unit cell a=8.190 b=8.190 c=8.584 alpha=87.81 beta=87.81 gamma=72.94
Fractional positions:
I (0.780, 0.220, 0.493)
I (0.780, 0.220, 0.007)
I (0.249, 0.213, 0.228)
I (0.213, 0.249, 0.728)
I (0.751, 0.787, 0.772)
I (0.787, 0.751, 0.272)
I (0.220, 0.780, 0.507)
I (0.220, 0.780, 0.993)
Ga (0.989, 0.011, 0.750)
Ga (0.011, 0.989, 0.250)
Sr (0.000, 0.500, 0.000)
Sr (0.500, 0.000, 0.500)

Computed properties:
The mass density comes out at 4.02 Mg/m³.

<b>
This record from Alexandria via LeMat-Bulk describes a geometry-optimized SrGaI4 structure. The functional is PBE-GGA.

Unit cell a=7.054 b=7.054 c=7.054 alpha=110.29 beta=110.29 gamma=107.85
Fractional positions:
Sr (0.750, 0.250, 0.500)
I (0.750, 0.246, 0.997)
I (0.754, 0.751, 0.505)
I (0.249, 0.753, 0.003)
I (0.247, 0.250, 0.495)
Ga (0.500, 0.500, 0.000)

Computed properties:
The mass density comes out at 4.09 Mg/m³.

The calculated energies rank the structures as follows, beginning with the most stable: <a>, <b>.